The following is a DFT calculation (PBE) of a relaxed structure of BeCd2Tc.

```
4
Lattice="5.097 -0.031 -0.105 -2.324 4.907 0.037 0.448 0.768 2.616" Properties=species:S:1:pos:R:3 pbc="T T T"
Cd 2.772 0.369 1.256
Tc -0.938 2.838 1.326
Be 1.386 2.438 -0.034
Cd 0.000 0.000 0.000
```

Calculated values
**Calculated total energy**: -13.93 eV per cell
**Space group**: C2/m, No. 12
**Density**: 8.4 g/cm3
**Volume**: 65.51 Å³ per cell


The following is a DFT calculation (PBE) of a relaxed structure of BeCdTc3.

```
5
Lattice="-4.193 0.125 -0.400 -0.408 -0.324 4.182 0.093 4.200 0.334" Properties=species:S:1:pos:R:3 pbc="T T T"
Tc 0.047 2.100 0.167
Tc -0.204 -0.162 2.091
Tc -2.097 0.062 -0.200
Be 0.000 0.000 0.000
Cd -2.254 2.001 2.058
```

Calculated values
**E above lowest polymorph**: 0 meV/atom
**Space group**: Pm-3m, No. 221
**Density**: 9.2 g/cm3
**Volume**: 74.84 Å³ per cell


The following is a DFT calculation (PBE) of a relaxed structure of BeCd2Tc.

```
4
Lattice="4.493 0.000 0.000 2.247 3.891 0.000 2.247 1.297 3.669" Properties=species:S:1:pos:R:3 pbc="T T T"
Cd 2.247 1.297 0.917
Cd 0.000 0.000 0.000
Tc 6.740 3.891 2.752
Be 4.493 2.594 1.834
```

Calculated values
**Calculated total energy**: -13.72 eV per cell
**Space group**: F-43m, No. 216
**Density**: 8.6 g/cm3
**Volume**: 64.15 Å³ per cell


The following is a DFT calculation (PBE) of a relaxed structure of BeCd2Tc.

```
4
Lattice="2.796 -0.025 0.000 -0.988 2.616 0.000 0.000 0.000 8.915" Properties=species:S:1:pos:R:3 pbc="T T T"
Cd 0.000 0.000 4.609
Be 0.904 1.295 6.686
Cd 0.000 0.000 8.763
Tc 0.904 1.295 2.229
```

Calculated values
**Calculated total energy**: -13.63 eV per cell
**Space group**: Cmmm, No. 65
**Density**: 8.5 g/cm3
**Volume**: 64.99 Å³ per cell


The following is a DFT calculation (PBE) of a relaxed structure of BeCdTc2.

```
4
Lattice="-4.960 0.340 2.096 -4.479 -2.376 1.844 -0.140 -0.432 4.389" Properties=species:S:1:pos:R:3 pbc="T T T"
Be -7.184 -1.851 6.247
Cd -2.395 -0.617 2.082
Tc -4.414 -1.169 4.182
Tc -0.516 -0.497 4.372
```

Calculated values
**E above lowest polymorph**: 235 meV/atom
**Space group**: Immm, No. 71
**Density**: 9.1 g/cm3
**Volume**: 57.73 Å³ per cell


The following is a DFT calculation (PBE) of a relaxed structure of BeCd2Tc.

```
4
Lattice="3.327 0.000 0.000 0.000 2.976 0.003 0.000 1.481 6.733" Properties=species:S:1:pos:R:3 pbc="T T T"
Cd 1.663 0.927 1.933
Tc 0.000 2.415 3.933
Be 1.663 3.903 4.474
Cd 0.000 3.898 6.498
```

Calculated values
**Calculated total energy**: -14.99 eV per cell
**Space group**: Amm2, No. 38
**Density**: 8.3 g/cm3
**Volume**: 66.64 Å³ per cell